[1]
DFT (PBE) results for a relaxed structure of Pm5Tl4Pd.

Cell: 3.6553 3.6553 20.9014 Å, 90.00 90.00 90.00°
Last column: nearest neighbours and their distance in Å.
Space group P4/mmm (No. 123)
Symmetry-distinct sites (fractional):
Pm 0.0000 0.0000 0.0000 (multiplicity 1)  8 Tl 3.37, 4 Pm 3.66
Pm 0.0000 0.0000 0.2080 (multiplicity 2)  8 Tl 3.37-3.38, 4 Pm 3.66
Pm 0.0000 0.0000 0.4161 (multiplicity 2)  4 Pd 3.12, 4 Tl 3.39
Tl 0.5000 0.5000 0.1038 (multiplicity 2)  8 Pm 3.37-3.38, 4 Tl 3.66
Tl 0.5000 0.5000 0.3113 (multiplicity 2)  8 Pm 3.37-3.39, 4 Tl 3.66
Pd 0.5000 0.5000 0.5000 (multiplicity 1)  8 Pm 3.12

Output
energy of formation = -0.469 eV per atom
calculated volume = 27.927 Å³/atom


[2]
DFT (PBE) results for a relaxed structure of ZrGaPb.

Cell: 5.6699 5.6698 8.6846 Å, 90.00 90.08 90.00°
Last column: nearest neighbours and their distance in Å.
Space group C2/m (No. 12)
Symmetry-distinct sites (fractional):
Zr 0.2503 0.0000 0.0925 (multiplicity 4)  1 Ga 2.76, 1 Pb 3.06
Ga 0.2494 0.5000 0.5895 (multiplicity 4)  1 Zr 2.76, 1 Pb 2.87
Pb 0.2491 0.0000 0.7404 (multiplicity 4)  5 Ga 2.87-3.13, 5 Zr 3.06-3.19

Output
energy of formation = -0.048 eV per atom
calculated volume = 23.265 Å³/atom


[3]
DFT (PBE) results for a relaxed structure of DyEr2AlN.

Cell: 4.7198 4.7198 4.7714 Å, 90.00 90.00 90.00°
Last column: nearest neighbours and their distance in Å.
Space group P4/mmm (No. 123)
Symmetry-distinct sites (fractional):
Dy 0.0000 0.0000 0.0000 (multiplicity 1)  2 N 2.39
Er 0.0000 0.5000 0.5000 (multiplicity 2)  2 N 2.36
Al 0.5000 0.5000 0.0000 (multiplicity 1)  4 Dy 3.34, 8 Er 3.36
N 0.0000 0.0000 0.5000 (multiplicity 1)  4 Er 2.36, 2 Dy 2.39

Output
energy relative to the elements, uncorrected = -0.935 eV per atom
calculated volume = 21.258 Å³/atom


[4]
DFT (PBE) results for a relaxed structure of PuZr2Ir9.

Cell: 5.2476 5.2476 26.0291 Å, 90.00 90.00 120.00°
Last column: nearest neighbours and their distance in Å.
Space group R-3m (No. 166, hexagonal axes)
Symmetry-distinct sites (fractional):
Pu 0.0000 0.0000 0.0000 (multiplicity 3)  6 Ir 3.03
Zr 0.0000 0.0000 0.1390 (multiplicity 6)  12 Ir 2.98-3.24
Ir 0.0000 0.0000 0.3341 (multiplicity 6)  6 Ir 2.66-2.68
Ir 0.0000 0.0000 0.5000 (multiplicity 3)  6 Ir 2.63
Ir 0.0025 0.5013 0.9157 (multiplicity 18)  7 Ir 2.60-2.68

Output
energy of formation = -0.492 eV per atom
calculated volume = 17.243 Å³/atom